Record 1
Computed, not measured: PmGa9Co2 after structural relaxation at the PBE level of DFT.

Unit cell a=7.9386 b=7.9386 c=3.7655 alpha=90.00 beta=90.00 gamma=120.00
Last column: nearest neighbours and their distance in Å.
Sites, in units of the cell vectors:
Pm 0.0000 0.0000 0.0000  12 Ga 3.38, 2 Pm 3.77
Ga 0.0000 0.5000 0.0000  2 Co 2.29
Ga 0.2045 0.4091 0.5000  2 Co 2.58, 6 Ga 2.81
Ga 0.2045 0.7955 0.5000  2 Co 2.58, 6 Ga 2.81
Ga 0.4091 0.2045 0.5000  2 Co 2.58, 6 Ga 2.81
Ga 0.5000 0.0000 0.0000  2 Co 2.29
Ga 0.5000 0.5000 0.0000  2 Co 2.29
Ga 0.5909 0.7955 0.5000  2 Co 2.58, 6 Ga 2.81
Ga 0.7955 0.2045 0.5000  2 Co 2.58, 6 Ga 2.81
Ga 0.7955 0.5909 0.5000  2 Co 2.58, 6 Ga 2.81
Co 0.3333 0.6667 0.0000  3 Ga 2.29
Co 0.6667 0.3333 0.0000  3 Ga 2.29

Computed properties:
- polymorph energy (0 for the lowest one) (eV/atom) = 0.000
- total energy (eV/f.u.) = -49.7
- energy of formation from the pure elements (eV per formula unit) = -3.51

=====

Record 2
Computed, not measured: Pm3Ga3Co2 after structural relaxation at the PBE level of DFT.

Unit cell a=7.5835 b=14.9416 c=5.8529 alpha=90.00 beta=90.00 gamma=90.00
Last column: nearest neighbours and their distance in Å.
Sites, in units of the cell vectors:
Pm 0.0331 0.1058 0.1231  2 Co 2.88-3.12, 5 Ga 3.06-3.17
Pm 0.0331 0.3942 0.1231  2 Co 2.88-3.12, 5 Ga 3.06-3.17
Pm 0.1630 0.2500 0.6363  5 Ga 2.98-3.28, 4 Co 3.07-3.14
Pm 0.3370 0.7500 0.1363  5 Ga 2.98-3.28, 4 Co 3.07-3.14
Pm 0.4669 0.6058 0.6231  2 Co 2.88-3.12, 5 Ga 3.06-3.17
Pm 0.4669 0.8942 0.6231  2 Co 2.88-3.12, 5 Ga 3.06-3.17
Pm 0.5331 0.1058 0.3769  2 Co 2.88-3.12, 5 Ga 3.06-3.17
Pm 0.5331 0.3942 0.3769  2 Co 2.88-3.12, 5 Ga 3.06-3.17
Pm 0.6630 0.2500 0.8637  5 Ga 2.98-3.28, 4 Co 3.07-3.14
Pm 0.8370 0.7500 0.3637  5 Ga 2.98-3.28, 4 Co 3.07-3.14
Pm 0.9669 0.6058 0.8769  2 Co 2.88-3.12, 5 Ga 3.06-3.17
Pm 0.9669 0.8942 0.8769  2 Co 2.88-3.12, 5 Ga 3.06-3.17
Ga 0.1666 0.0408 0.6085  3 Co 2.43-2.52
Ga 0.1666 0.4592 0.6085  3 Co 2.43-2.52
Ga 0.1796 0.7500 0.6146  2 Co 2.58
Ga 0.3204 0.2500 0.1146  2 Co 2.58
Ga 0.3334 0.5407 0.1085  3 Co 2.43-2.52
Ga 0.3334 0.9592 0.1085  3 Co 2.43-2.52
Ga 0.6666 0.0408 0.8915  3 Co 2.43-2.52
Ga 0.6666 0.4592 0.8915  3 Co 2.43-2.52
Ga 0.6796 0.7500 0.8854  2 Co 2.58
Ga 0.8204 0.2500 0.3854  2 Co 2.58
Ga 0.8334 0.5407 0.3915  3 Co 2.43-2.52
Ga 0.8334 0.9592 0.3915  3 Co 2.43-2.52
Co 0.1331 0.6033 0.3897  4 Ga 2.43-2.58
Co 0.1331 0.8967 0.3897  4 Ga 2.43-2.58
Co 0.3669 0.1033 0.8897  4 Ga 2.43-2.58
Co 0.3669 0.3967 0.8897  4 Ga 2.43-2.58
Co 0.6331 0.6033 0.1103  4 Ga 2.43-2.58
Co 0.6331 0.8967 0.1103  4 Ga 2.43-2.58
Co 0.8669 0.1033 0.6103  4 Ga 2.43-2.58
Co 0.8669 0.3967 0.6103  4 Ga 2.43-2.58

Computed properties:
- polymorph energy (0 for the lowest one) (eV/atom) = 0.006
- total energy (eV/f.u.) = -41.1
- energy of formation from the pure elements (eV per formula unit) = -3.60

=====

Record 3
Computed, not measured: Pm4Ga3Co after structural relaxation at the PBE level of DFT.

Unit cell a=4.2568 b=4.2936 c=10.7381 alpha=90.00 beta=90.00 gamma=90.00
Last column: nearest neighbours and their distance in Å.
Sites, in units of the cell vectors:
Pm 0.0000 0.0000 0.0000  1 Co 2.95, 6 Ga 3.16-3.29
Pm 0.0000 0.5000 0.4678  2 Co 2.98, 5 Ga 3.11-3.22
Pm 0.5000 0.0000 0.6940  7 Ga 3.12-3.19
Pm 0.5000 0.5000 0.1987  3 Ga 3.04-3.06, 4 Co 3.13
Ga 0.0000 0.5000 0.7673  2 Ga 2.65
Ga 0.5000 0.0000 0.3996  2 Co 2.51
Ga 0.5000 0.5000 0.9136  2 Ga 2.65
Co 0.0000 0.0000 0.2752  2 Ga 2.51

Computed properties:
- total energy (eV/f.u.) = -38.8
- energy of formation from the pure elements (eV per formula unit) = -3.60

=====

Record 4
Computed, not measured: PmGa2Co3 after structural relaxation at the PBE level of DFT.

Unit cell a=5.3046 b=5.3046 c=3.7434 alpha=90.00 beta=90.00 gamma=120.00
Last column: nearest neighbours and their distance in Å.
Sites, in units of the cell vectors:
Pm 0.0000 0.0000 0.0000  6 Ga 3.06, 12 Co 3.25
Ga 0.3333 0.6667 0.0000  6 Co 2.42
Ga 0.6667 0.3333 0.0000  6 Co 2.42
Co 0.0000 0.5000 0.5000  4 Ga 2.42, 4 Co 2.65
Co 0.5000 0.0000 0.5000  4 Ga 2.42, 4 Co 2.65
Co 0.5000 0.5000 0.5000  4 Ga 2.42, 4 Co 2.65

Computed properties:
- polymorph energy (0 for the lowest one) (eV/atom) = 0.000
- total energy (eV/f.u.) = -34.1
- energy of formation from the pure elements (eV per formula unit) = -2.02

=====

Record 5
Computed, not measured: Pm3Ga2Co2 after structural relaxation at the PBE level of DFT.

Unit cell a=5.6218 b=7.9787 c=13.1327 alpha=90.00 beta=90.00 gamma=90.00
Last column: nearest neighbours and their distance in Å.
Sites, in units of the cell vectors:
Pm 0.1383 0.2462 0.2500  5 Ga 2.99-3.28, 4 Co 3.07-3.16
Pm 0.1383 0.2538 0.7500  5 Ga 2.99-3.28, 4 Co 3.07-3.16
Pm 0.3467 0.6004 0.0966  2 Co 2.76-2.90
Pm 0.3467 0.6004 0.4034  2 Co 2.76-2.90
Pm 0.3467 0.8996 0.5966  2 Co 2.76-2.90
Pm 0.3467 0.8996 0.9034  2 Co 2.76-2.90
Pm 0.6533 0.1004 0.0966  2 Co 2.76-2.90
Pm 0.6533 0.1004 0.4034  2 Co 2.76-2.90
Pm 0.6533 0.3996 0.5966  2 Co 2.76-2.90
Pm 0.6533 0.3996 0.9034  2 Co 2.76-2.90
Pm 0.8617 0.7462 0.2500  5 Ga 2.99-3.28, 4 Co 3.07-3.16
Pm 0.8617 0.7538 0.7500  5 Ga 2.99-3.28, 4 Co 3.07-3.16
Ga 0.1302 0.2500 0.0000  4 Co 2.52-2.57
Ga 0.1302 0.2500 0.5000  4 Co 2.52-2.57
Ga 0.3482 0.6017 0.7500  2 Co 2.51
Ga 0.3482 0.8983 0.2500  2 Co 2.51
Ga 0.6518 0.1017 0.7500  2 Co 2.51
Ga 0.6518 0.3983 0.2500  2 Co 2.51
Ga 0.8698 0.7500 0.0000  4 Co 2.52-2.57
Ga 0.8698 0.7500 0.5000  4 Co 2.52-2.57
Co 0.1333 0.5309 0.5882  3 Ga 2.51-2.57, 1 Pm 2.76, 1 Co 2.80
Co 0.1333 0.5309 0.9118  3 Ga 2.51-2.57, 1 Pm 2.76, 1 Co 2.80
Co 0.1333 0.9691 0.0882  3 Ga 2.51-2.57, 1 Pm 2.76, 1 Co 2.80
Co 0.1333 0.9691 0.4118  3 Ga 2.51-2.57, 1 Pm 2.76, 1 Co 2.80
Co 0.8667 0.0309 0.5882  3 Ga 2.51-2.57, 1 Pm 2.76, 1 Co 2.80
Co 0.8667 0.0309 0.9118  3 Ga 2.51-2.57, 1 Pm 2.76, 1 Co 2.80
Co 0.8667 0.4691 0.0882  3 Ga 2.51-2.57, 1 Pm 2.76, 1 Co 2.80
Co 0.8667 0.4691 0.4118  3 Ga 2.51-2.57, 1 Pm 2.76, 1 Co 2.80

Computed properties:
- total energy (eV/f.u.) = -37.3
- energy of formation from the pure elements (eV per formula unit) = -2.80

=====

Record 6
Computed, not measured: Pm2Ga3Co2 after structural relaxation at the PBE level of DFT.

Unit cell a=5.5063 b=5.5063 c=7.0680 alpha=115.02 beta=115.02 gamma=42.64
Last column: nearest neighbours and their distance in Å.
Sites, in units of the cell vectors:
Pm 0.1408 0.1408 0.2698  4 Co 2.87-3.10, 3 Ga 3.08-3.16
Pm 0.8592 0.8592 0.7302  4 Co 2.87-3.10, 3 Ga 3.08-3.16
Ga 0.3540 0.3540 0.0580  3 Co 2.54-2.59, 3 Ga 2.77-2.78
Ga 0.5000 0.5000 0.5000  4 Co 2.46
Ga 0.6460 0.6460 0.9420  3 Co 2.54-2.59, 3 Ga 2.77-2.78
Co 0.1286 0.1286 0.7002  5 Ga 2.46-2.59
Co 0.8714 0.8714 0.2998  5 Ga 2.46-2.59

Computed properties:
- polymorph energy (0 for the lowest one) (eV/atom) = 0.000
- total energy (eV/f.u.) = -36.0
- energy of formation from the pure elements (eV per formula unit) = -3.19

=====

Record 7
Computed, not measured: Pm2Ga2Co after structural relaxation at the PBE level of DFT.

Unit cell a=5.7769 b=5.7769 c=10.6205 alpha=117.31 beta=117.31 gamma=44.49
Last column: nearest neighbours and their distance in Å.
Sites, in units of the cell vectors:
Pm 0.0821 0.0821 0.3875  6 Ga 3.00-3.20
Pm 0.3263 0.3263 0.8300  4 Co 3.00-3.25, 7 Ga 3.08-3.31
Pm 0.6737 0.6737 0.1700  4 Co 3.00-3.25, 7 Ga 3.08-3.31
Pm 0.9179 0.9179 0.6125  6 Ga 3.00-3.20
Ga 0.0921 0.0921 0.9370  3 Co 2.45-2.46
Ga 0.3749 0.3749 0.3743  1 Co 2.55, 1 Ga 2.68
Ga 0.6251 0.6251 0.6257  1 Co 2.55, 1 Ga 2.68
Ga 0.9079 0.9079 0.0630  3 Co 2.45-2.46
Co 0.3490 0.3490 0.1228  4 Ga 2.45-2.55
Co 0.6510 0.6510 0.8772  4 Ga 2.45-2.55

Computed properties:
- polymorph energy (0 for the lowest one) (eV/atom) = 0.000
- total energy (eV/f.u.) = -25.0
- energy of formation from the pure elements (eV per formula unit) = -2.37

=====

Record 8
Computed, not measured: PmGa6Co after structural relaxation at the PBE level of DFT.

Unit cell a=5.8044 b=5.8044 c=5.8044 alpha=65.30 beta=65.30 gamma=65.30
Last column: nearest neighbours and their distance in Å.
Sites, in units of the cell vectors:
Pm 0.0000 0.0000 0.0000  18 Ga 3.39-3.61
Ga 0.0377 0.6204 0.6204  1 Co 2.33, 3 Ga 2.60-2.61
Ga 0.3796 0.3796 0.9623  1 Co 2.33, 3 Ga 2.60-2.61
Ga 0.3796 0.9623 0.3796  1 Co 2.33, 3 Ga 2.60-2.61
Ga 0.6204 0.0377 0.6204  1 Co 2.33, 3 Ga 2.60-2.61
Ga 0.6204 0.6204 0.0377  1 Co 2.33, 3 Ga 2.60-2.61
Ga 0.9623 0.3796 0.3796  1 Co 2.33, 3 Ga 2.60-2.61
Co 0.5000 0.5000 0.5000  6 Ga 2.33

Computed properties:
- total energy (eV/f.u.) = -31.5
- energy of formation from the pure elements (eV per formula unit) = -1.44

=====

energy of formation from the pure elements of number 3 (Pm4Ga3Co)?
-3.60 eV per formula unit

=====

What did the eighth record say?
Computed, not measured: PmGa6Co after structural relaxation at the PBE level of DFT.

Unit cell a=5.8044 b=5.8044 c=5.8044 alpha=65.30 beta=65.30 gamma=65.30
Last column: nearest neighbours and their distance in Å.
Sites, in units of the cell vectors:
Pm 0.0000 0.0000 0.0000  18 Ga 3.39-3.61
Ga 0.0377 0.6204 0.6204  1 Co 2.33, 3 Ga 2.60-2.61
Ga 0.3796 0.3796 0.9623  1 Co 2.33, 3 Ga 2.60-2.61
Ga 0.3796 0.9623 0.3796  1 Co 2.33, 3 Ga 2.60-2.61
Ga 0.6204 0.0377 0.6204  1 Co 2.33, 3 Ga 2.60-2.61
Ga 0.6204 0.6204 0.0377  1 Co 2.33, 3 Ga 2.60-2.61
Ga 0.9623 0.3796 0.3796  1 Co 2.33, 3 Ga 2.60-2.61
Co 0.5000 0.5000 0.5000  6 Ga 2.33

Computed properties:
- total energy (eV/f.u.) = -31.5
- energy of formation from the pure elements (eV per formula unit) = -1.44

=====

What is the total energy in the third record?
-38.8 eV/f.u.